Entry 1:
A plane-wave DFT calculation with PBE was carried out for crystalline Ho6ZnPd2 at its relaxed geometry.

Values from the calculation:
Total moment (μB/atom): 0.000
Symmetry: Immm
E (eV/atom): -4.84

Lattice parameters (Å, degrees): 8.430 8.430 8.430 105.60 110.75 112.14
Sites, in units of the cell vectors:
Ho1 0.297 0.968 0.671
Zn1 0.000 0.500 0.500
Ho2 0.191 0.759 0.950
Pd1 0.341 0.000 0.341
Ho3 0.459 0.281 0.179
Ho4 0.809 0.759 0.568
Ho5 0.703 0.374 0.671
Ho6 0.809 0.241 0.050
Pd2 0.500 0.634 0.134
Ho7 0.102 0.281 0.821
Ho8 0.541 0.719 0.821
Pd3 0.659 0.000 0.659
Ho9 0.297 0.626 0.329
Zn2 0.000 0.000 0.000
Ho10 0.191 0.241 0.432
Ho11 0.703 0.032 0.329
Ho12 0.898 0.719 0.179
Pd4 0.500 0.366 0.866

=====

Entry 2:
A plane-wave DFT calculation with PBE was carried out for crystalline SrCr2Os at its relaxed geometry.

Values from the calculation:
Total moment (μB/atom): 0.000
Excess energy over the best structure of this formula in the dataset (kJ/mol of formula units): 248
Symmetry: C2/m
E (eV/atom): -6.80

Lattice parameters (Å, degrees): 5.288 5.513 2.668 80.90 80.22 118.77
Sites, in units of the cell vectors:
Cr1 0.000 0.000 0.000
Sr1 0.500 0.000 0.500
Cr2 0.000 0.500 0.500
Os1 0.500 0.500 0.000

=====

Entry 3:
A plane-wave DFT calculation with PBE was carried out for crystalline Hf2Be3Ga at its relaxed geometry.

Values from the calculation:
Total moment (μB/atom): 0.000
Excess energy over the best structure of this formula in the dataset (kJ/mol of formula units): 0
Symmetry: Pmm2
E (eV/atom): -5.99

Lattice parameters (Å, degrees): 3.217 3.877 6.772 90.00 90.00 90.00
Sites, in units of the cell vectors:
Hf1 0.000 0.000 0.521
Hf2 0.000 0.500 0.983
Ga1 0.500 0.500 0.332
Be1 0.500 0.500 0.675
Be2 0.500 0.000 0.154
Be3 0.500 0.000 0.835